# 1
The following is a PBE-GGA calculation of SrGdAlAg after structural relaxation, from the Alexandria database.

Summary:
Calculated total energy in eV/atom: -5.789
Density of states at the Fermi level in states/eV per atom: 0.93

Unit cell a=5.3616 b=5.3616 c=5.3616 alpha=60.00 beta=60.00 gamma=60.00
Fractional positions:
1 Sr 0.0000 0.0000 0.0000
2 Gd 0.5000 0.5000 0.5000
3 Al 0.7500 0.7500 0.7500
4 Ag 0.2500 0.2500 0.2500


# 2
The following is a PBE-GGA calculation of NpTiSb3 after structural relaxation, from the Alexandria database.

Summary:
E_form (uncorrected) in eV/atom: -0.34
Density of states at the Fermi level in states/eV per atom: 2.59

Unit cell a=12.7653 b=6.2838 c=6.1719 alpha=90.00 beta=90.00 gamma=90.00
Fractional positions:
1 Np 0.1878 0.0044 0.2500
2 Np 0.1878 0.4956 0.7500
3 Np 0.8122 0.5044 0.2500
4 Np 0.8122 0.9956 0.7500
5 Ti 0.4012 0.7500 0.0000
6 Ti 0.4012 0.7500 0.5000
7 Ti 0.5988 0.2500 0.0000
8 Ti 0.5988 0.2500 0.5000
9 Sb 0.0020 0.7500 0.0000
10 Sb 0.0020 0.7500 0.5000
11 Sb 0.2611 0.9997 0.7500
12 Sb 0.2611 0.5003 0.2500
13 Sb 0.4290 0.1130 0.2500
14 Sb 0.4290 0.3870 0.7500
15 Sb 0.5710 0.6130 0.2500
16 Sb 0.5710 0.8870 0.7500
17 Sb 0.7389 0.0003 0.2500
18 Sb 0.7389 0.4997 0.7500
19 Sb 0.9980 0.2500 0.0000
20 Sb 0.9980 0.2500 0.5000